[1]
The following is a GGA-PBEsol calculation of a geometry-optimized CdSiN2O structure, from the Alexandria database.

- ΔE_f (raw) (eV per atom) = 1.7494
- ρ (g/cm³) = 4.32
- Fermi-level density of states (states/eV/f.u.) = 2.6

Cell lengths 4.1433, 4.1433, 4.1336 Å; angles 90.00, 90.00, 90.00 degrees
Space group P4/mmm (No. 123)
Unique sites:
Cd 0.0000 0.0000 0.0000
Si 0.5000 0.5000 0.5000
N 0.0000 0.5000 0.0000
O 0.0000 0.0000 0.5000

***

[2]
The following is a GGA-PBEsol calculation of a geometry-optimized KYTl2 structure, from the Alexandria database.

- ΔE_f (kJ per mole of atoms) = 3
- ρ (g/cm³) = 7.75
- Fermi-level density of states (states/eV/f.u.) = 2.3

Cell lengths 4.7414, 4.7414, 10.2289 Å; angles 90.00, 90.00, 90.00 degrees
Space group I-4m2 (No. 119)
Unique sites:
K 0.0000 0.0000 0.0000
Y 0.0000 0.5000 0.7500
Tl 0.0000 0.0000 0.5000
Tl 0.0000 0.5000 0.2500